The following is a DFT calculation (PBE+U) of CrRe2O6 after structural relaxation.

Calculated values
Space group = P4_2/mnm
Total energy = -76.14 eV/f.u.
Total magnetic moment = 2.76 μB/f.u.
Mass density = 8.9 g/cm3
Fermi-level density of states = 3.083 states/eV/f.u.

The structure in extended XYZ format:
```
18
Lattice="4.795 0.000 0.000 0.000 4.795 0.000 0.000 0.000 8.469" Properties=species:S:1:pos:R:3 pbc="T T T"
Cr 0.000 0.000 0.000
Cr 2.397 2.397 4.234
Re 0.000 0.000 2.954
Re 0.000 0.000 5.515
Re 2.397 2.397 1.280
Re 2.397 2.397 7.188
O 0.979 0.979 1.455
O 0.979 0.979 7.013
O 1.058 1.058 4.234
O 1.340 3.455 0.000
O 1.419 3.376 2.779
O 1.419 3.376 5.690
O 3.376 1.419 2.779
O 3.376 1.419 5.690
O 3.455 1.340 0.000
O 3.737 3.737 4.234
O 3.816 3.816 1.455
O 3.816 3.816 7.013
```